YMgTe2: relaxed, PBEsol.

Cell and atoms, written as CIF:
```
data_YMgTe2
_chemical_formula_sum 'Y1 Mg1 Te2'
_symmetry_space_group_name_H-M 'P 4/m m m'
_symmetry_Int_Tables_number 123
_symmetry_space_group_name_Hall '-P 4 2'
_cell_length_a 4.255
_cell_length_b 4.255
_cell_length_c 6.117
_cell_angle_alpha 90.00
_cell_angle_beta 90.00
_cell_angle_gamma 90.00
loop_
_atom_site_label
_atom_site_fract_x
_atom_site_fract_y
_atom_site_fract_z
Y1 0.000 0.000 0.000
Mg1 0.500 0.500 0.500
Te1 0.000 0.000 0.500
Te2 0.500 0.500 0.000
```

Calculated values
Theoretical density: 5.5 Mg/m³
Total energy: -4.9617 eV per atom
ΔE_f (raw): -1064 meV per atom
Offset from the most stable computed form: 36 meV per atom
N(E_F): 0.40 states/eV/atom
Total magnetic moment: 0.00 Bohr magnetons per cell